Material: Hf2FeSn2
Method: DFT, PBE
State: optimized geometry

abc: 6.683 6.683 4.485
angles: 90.00 90.00 90.00
Space group P4/mbm (No. 127)
Inequivalent atoms, fractional coordinates:
Hf1 0.167 0.333 0.000 x4
Fe1 0.000 0.000 0.500 x2
Sn1 0.149 0.649 0.500 x4

Total DFT energy (no corrections), eV per atom: -7.328
ΔE_f, meV/atom: -53


Material: Sr2Sb2Au
Method: DFT, PBE
State: optimized geometry

abc: 12.258 4.685 12.024
angles: 90.00 113.17 90.00
Space group C2/m (No. 12)
Inequivalent atoms, fractional coordinates:
Sr1 0.076 0.000 0.397 x4
Sr2 0.190 0.500 0.154 x4
Sb1 0.066 0.000 0.924 x4
Sb2 0.164 0.500 0.632 x4
Au1 0.078 0.500 0.812 x4

Uncorrected formation energy, meV per atom: -848.6
Total DFT energy (no corrections), eV per atom: -3.826


Material: Cu12Ni7Pt
Method: DFT, PBE
State: optimized geometry

abc: 8.7302 8.7302 11.2513
angles: 90.00 90.00 120.00
Space group R-3 (No. 148, hexagonal axes)
Inequivalent atoms, fractional coordinates:
Cu1 0.0108 0.5654 0.2030 x18
Cu2 0.0508 0.4684 0.5910 x18
Ni1 0.0000 0.0000 0.0000 x3
Ni2 0.0480 0.8609 0.3115 x18
Pt1 0.0000 0.0000 0.5000 x3

Total DFT energy (no corrections), eV per atom: -4.620
ΔE_f, meV/atom: 163


Material: PmThCuPd
Method: DFT, PBE
State: optimized geometry

abc: 4.610 3.831 10.844
angles: 90.00 90.00 90.00
Space group Amm2 (No. 38)
Inequivalent atoms, fractional coordinates:
Pm1 0.000 0.000 0.000 x2
Th1 0.500 0.000 0.719 x2
Cu1 0.000 0.000 0.280 x2
Pd1 0.500 0.000 0.430 x2

Total DFT energy (no corrections), eV per atom: -5.824
ΔE_f, meV/atom: -460


Material: BaCd11
Method: DFT, PBE
State: optimized geometry

abc: 12.185 12.185 7.884
angles: 90.00 90.00 90.00
Space group I4_1/amd (No. 141, origin choice 2)
Inequivalent atoms, fractional coordinates:
Ba1 0.000 0.250 0.375 x4
Cd1 0.000 0.000 0.000 x8
Cd2 0.000 0.250 0.875 x4
Cd3 0.121 0.045 0.676 x32

Total DFT energy (no corrections), eV per atom: -1.172
ΔE_f, meV/atom: -172


Material: Sr2BePd2
Method: DFT, PBE
State: optimized geometry

abc: 3.859 3.859 17.314
angles: 90.00 90.00 90.00
Space group I4/mmm (No. 139)
Inequivalent atoms, fractional coordinates:
Sr1 0.000 0.000 0.110 x4
Be1 0.000 0.000 0.500 x2
Pd1 0.000 0.500 0.250 x4

Total DFT energy (no corrections), eV per atom: -3.435
ΔE_f, meV/atom: 60


Material: LaMg2Se
Method: DFT, PBE
State: optimized geometry

abc: 3.606 3.606 7.854
angles: 90.00 90.00 90.00
Space group P4/mmm (No. 123)
Inequivalent atoms, fractional coordinates:
La1 0.000 0.000 0.000 x1
Mg1 0.500 0.500 0.309 x2
Se1 0.000 0.000 0.500 x1

Uncorrected formation energy, meV per atom: -478.8
Total DFT energy (no corrections), eV per atom: -3.379


Material: Nd6Sb3Te
Method: DFT, PBE
State: optimized geometry

abc: 11.845 15.090 7.798
angles: 90.00 90.00 90.00
Space group Cmc2_1 (No. 36)
Inequivalent atoms, fractional coordinates:
Nd1 0.000 0.006 0.000 x4
Nd2 0.000 0.247 0.625 x4
Nd3 0.168 0.456 0.587 x8
Nd4 0.178 0.269 0.026 x8
Sb1 0.000 0.411 0.896 x4
Sb2 0.180 0.101 0.763 x8
Te1 0.000 0.167 0.258 x4

Uncorrected formation energy, meV per atom: -872.4
Total DFT energy (no corrections), eV per atom: -5.284


Material: RuAu3
Method: DFT, PBE
State: optimized geometry

abc: 4.213 4.213 7.765
angles: 90.00 90.00 90.00
Space group I4/mmm (No. 139)
Inequivalent atoms, fractional coordinates:
Ru1 0.000 0.000 0.000 x2
Au1 0.000 0.000 0.500 x2
Au2 0.000 0.500 0.250 x4

Total DFT energy (no corrections), eV per atom: -4.408
ΔE_f, meV/atom: 369


Material: Al3PdPb2Au12
Method: DFT, PBE
State: optimized geometry

abc: 8.6630 8.6630 18.5716
angles: 90.00 90.00 120.00
Space group R-3m (No. 166, hexagonal axes)
Inequivalent atoms, fractional coordinates:
Al1 0.0000 0.5000 0.0000 x9
Pd1 0.0000 0.0000 0.5000 x3
Pb1 0.0000 0.0000 0.1111 x6
Au1 0.0146 0.5073 0.3741 x18
Au2 0.0157 0.5078 0.8659 x18

Total DFT energy (no corrections), eV per atom: -3.492
ΔE_f, meV/atom: 18


Material: Re5Ni4
Method: DFT, PBE
State: optimized geometry

abc: 7.2715 7.2715 5.2131
angles: 90.00 90.00 120.00
Space group P6_3/mcm (No. 193)
Inequivalent atoms, fractional coordinates:
Re1 0.0000 0.3229 0.2500 x6
Re2 0.3333 0.6667 0.0000 x4
Ni1 0.0000 0.0000 0.0000 x2
Ni2 0.0000 0.3437 0.7500 x6

Total DFT energy (no corrections), eV per atom: -9.305
ΔE_f, meV/atom: 180


Material: SnBi2HPb
Method: DFT, PBE
State: optimized geometry

abc: 6.158 6.158 3.695
angles: 90.00 90.00 90.00
Space group P4/mmm (No. 123)
Inequivalent atoms, fractional coordinates:
Sn1 0.000 0.000 0.000 x1
Bi1 0.000 0.500 0.000 x2
H1 0.000 0.000 0.500 x1
Pb1 0.500 0.500 0.500 x1

Total DFT energy (no corrections), eV per atom: -3.550


Material: HgSbPb
Method: DFT, PBE
State: optimized geometry

abc: 3.260 6.125 17.876
angles: 90.00 90.00 90.00
Space group Immm (No. 71)
Inequivalent atoms, fractional coordinates:
Hg1 0.000 0.244 0.000 x4
Sb1 0.000 0.500 0.159 x4
Pb1 0.000 0.500 0.334 x4

Uncorrected formation energy, meV per atom: 84.4
Total DFT energy (no corrections), eV per atom: -2.626


Material: LaYTmZn
Method: DFT, PBE
State: optimized geometry

abc: 3.580 3.580 8.877
angles: 90.00 90.00 90.00
Space group P4mm (No. 99)
Inequivalent atoms, fractional coordinates:
La1 0.000 0.000 0.000 x1
Y1 0.500 0.500 0.691 x1
Tm1 0.500 0.500 0.299 x1
Zn1 0.000 0.000 0.489 x1

Total DFT energy (no corrections), eV per atom: -4.446
ΔE_f, meV/atom: -162


Material: La4PmHo6
Method: DFT, PBE
State: optimized geometry

abc: 6.794 6.794 16.895
angles: 90.00 90.00 90.00
Space group I-42m (No. 121)
Inequivalent atoms, fractional coordinates:
La1 0.191 0.191 0.177 x8
Pm1 0.000 0.000 0.000 x2
Ho1 0.000 0.500 0.000 x4
Ho2 0.175 0.175 0.382 x8

Total DFT energy (no corrections), eV per atom: -4.423
ΔE_f, meV/atom: 297


Material: CuBiIr3
Method: DFT, PBE
State: optimized geometry

abc: 4.973 4.973 4.973
angles: 90.00 90.00 90.00
Space group Pm-3m (No. 221)
Inequivalent atoms, fractional coordinates:
Cu1 0.000 0.000 0.000 x1
Bi1 0.500 0.500 0.500 x1
Ir1 0.000 0.500 0.500 x3

Total DFT energy (no corrections), eV per atom: -4.623
ΔE_f, meV/atom: 2289


Material: Mn2TlW
Method: DFT, PBE
State: optimized geometry

abc: 7.116 7.116 5.575
angles: 90.00 90.00 90.00
Space group I-42d (No. 122)
Inequivalent atoms, fractional coordinates:
Mn1 0.209 0.250 0.125 x8
Tl1 0.000 0.000 0.500 x4
W1 0.000 0.000 0.000 x4

Total DFT energy (no corrections), eV per atom: -7.433
ΔE_f, meV/atom: 981


Material: LuPuSbAu
Method: DFT, PBE
State: optimized geometry

abc: 7.343 7.343 7.343
angles: 90.00 90.00 90.00
Space group F-43m (No. 216)
Inequivalent atoms, fractional coordinates:
Lu1 0.000 0.000 0.000 x4
Pu1 0.000 0.000 0.500 x4
Sb1 0.250 0.250 0.250 x4
Au1 0.250 0.250 0.750 x4

Uncorrected formation energy, meV per atom: -605.3
Total DFT energy (no corrections), eV per atom: -7.168


Material: NiAgSe2
Method: DFT, PBE
State: optimized geometry

abc: 2.945 3.348 7.965
angles: 90.00 90.00 90.00
Space group Pmm2 (No. 25)
Inequivalent atoms, fractional coordinates:
Ni1 0.000 0.000 0.000 x1
Ag1 0.500 0.500 0.760 x1
Se1 0.000 0.000 0.535 x1
Se2 0.500 0.500 0.112 x1

Uncorrected formation energy, meV per atom: 32.5
Total DFT energy (no corrections), eV per atom: -3.868


Material: ZrFeGe2
Method: DFT, PBE
State: optimized geometry

abc: 6.822 7.101 5.483
angles: 90.00 90.00 90.00
Space group Pbcm (No. 57)
Inequivalent atoms, fractional coordinates:
Zr1 0.143 0.094 0.250 x4
Fe1 0.351 0.522 0.250 x4
Ge1 0.164 0.750 0.000 x4
Ge2 0.457 0.250 0.000 x4

Total DFT energy (no corrections), eV per atom: -6.841
ΔE_f, meV/atom: -280